#w
# PmScPdPt | Alexandria via LeMat-Bulk | PBE | optimized geometry
data_PmScPdPt
_chemical_formula_sum 'Pm2 Sc2 Pd2 Pt2'
_space_group_name_H-M_alt 'A m m 2'
_space_group_IT_number 38
_cell_length_a 4.471
_cell_length_b 3.652
_cell_length_c 10.534
_cell_angle_alpha 90.00
_cell_angle_beta 90.00
_cell_angle_gamma 90.00
loop_
_space_group_symop_operation_xyz
'x,y,z'
'-x,-y,z'
'-x,y,z'
'x,-y,z'
'x,y+1/2,z+1/2'
'-x,-y+1/2,z+1/2'
'-x,y+1/2,z+1/2'
'x,-y+1/2,z+1/2'
loop_
_atom_site_label
_atom_site_fract_x
_atom_site_fract_y
_atom_site_fract_z
Pm1 0.000 0.000 0.000
Sc1 0.500 0.000 0.725
Pd1 0.500 0.000 0.443
Pt1 0.000 0.000 0.270
# - total moment (μB/f.u.) = 0.00



#x
# PmScPdPt | Alexandria via LeMat-Bulk | PBE | optimized geometry
data_PmScPdPt
_chemical_formula_sum 'Pm4 Sc4 Pd4 Pt4'
_space_group_name_H-M_alt 'F -4 3 m'
_space_group_IT_number 216
_space_group_name_Hall 'F -4 2 3'
_cell_length_a 6.922
_cell_length_b 6.922
_cell_length_c 6.922
_cell_angle_alpha 90.00
_cell_angle_beta 90.00
_cell_angle_gamma 90.00
loop_
_atom_site_label
_atom_site_fract_x
_atom_site_fract_y
_atom_site_fract_z
Pm1 0.000 0.000 0.000
Sc1 0.000 0.000 0.500
Pd1 0.250 0.250 0.750
Pt1 0.250 0.250 0.250
# - total moment (μB/f.u.) = 0.00



What is the stability order? It is #w, #x, from most stable to least stable.



#w
# PmYPdPt | Alexandria via LeMat-Bulk | PBE | optimized geometry
data_PmYPdPt
_chemical_formula_sum 'Pm4 Y4 Pd4 Pt4'
_space_group_name_H-M_alt 'F -4 3 m'
_space_group_IT_number 216
_space_group_name_Hall 'F -4 2 3'
_cell_length_a 7.103
_cell_length_b 7.103
_cell_length_c 7.103
_cell_angle_alpha 90.00
_cell_angle_beta 90.00
_cell_angle_gamma 90.00
loop_
_atom_site_label
_atom_site_fract_x
_atom_site_fract_y
_atom_site_fract_z
Pm1 0.000 0.000 0.000
Y1 0.000 0.000 0.500
Pd1 0.250 0.250 0.250
Pt1 0.250 0.250 0.750
# - total moment (μB/f.u.) = 0.00



#x
# PmYPdPt | Alexandria via LeMat-Bulk | PBE | optimized geometry
data_PmYPdPt
_chemical_formula_sum 'Pm2 Y2 Pd2 Pt2'
_space_group_name_H-M_alt 'A m m 2'
_space_group_IT_number 38
_cell_length_a 4.537
_cell_length_b 3.832
_cell_length_c 10.708
_cell_angle_alpha 90.00
_cell_angle_beta 90.00
_cell_angle_gamma 90.00
loop_
_space_group_symop_operation_xyz
'x,y,z'
'-x,-y,z'
'-x,y,z'
'x,-y,z'
'x,y+1/2,z+1/2'
'-x,-y+1/2,z+1/2'
'-x,y+1/2,z+1/2'
'x,-y+1/2,z+1/2'
loop_
_atom_site_label
_atom_site_fract_x
_atom_site_fract_y
_atom_site_fract_z
Pm1 0.000 0.000 0.000
Y1 0.500 0.000 0.725
Pd1 0.500 0.000 0.447
Pt1 0.000 0.000 0.275
# - total moment (μB/f.u.) = 0.00



What is the stability order? It is #x, #w, from most stable to least stable.



#w
# PmZnPdPt | Alexandria via LeMat-Bulk | PBE | optimized geometry
data_PmZnPdPt
_chemical_formula_sum 'Pm2 Zn2 Pd2 Pt2'
_space_group_name_H-M_alt 'C 1 m 1'
_space_group_IT_number 8
_cell_length_a 7.645
_cell_length_b 4.420
_cell_length_c 5.377
_cell_angle_alpha 90.00
_cell_angle_beta 118.35
_cell_angle_gamma 90.00
loop_
_space_group_symop_operation_xyz
'x,y,z'
'x,-y,z'
'x+1/2,y+1/2,z'
'x+1/2,-y+1/2,z'
loop_
_atom_site_label
_atom_site_fract_x
_atom_site_fract_y
_atom_site_fract_z
Pm1 0.000 0.000 0.000
Zn1 0.494 0.000 0.483
Pd1 0.212 0.000 0.636
Pt1 0.286 0.500 0.356
# - total moment (μB/f.u.) = 0.00



#x
# PmZnPdPt | Alexandria via LeMat-Bulk | PBE | optimized geometry
data_PmZnPdPt
_chemical_formula_sum 'Pm4 Zn4 Pd4 Pt4'
_space_group_name_H-M_alt 'F -4 3 m'
_space_group_IT_number 216
_space_group_name_Hall 'F -4 2 3'
_cell_length_a 6.745
_cell_length_b 6.745
_cell_length_c 6.745
_cell_angle_alpha 90.00
_cell_angle_beta 90.00
_cell_angle_gamma 90.00
loop_
_atom_site_label
_atom_site_fract_x
_atom_site_fract_y
_atom_site_fract_z
Pm1 0.000 0.000 0.000
Zn1 0.000 0.000 0.500
Pd1 0.250 0.250 0.250
Pt1 0.250 0.250 0.750
# - total moment (μB/f.u.) = 0.00



What is the stability order? It is #w, #x, from most stable to least stable.



#w
# PmPu2Pd | Alexandria via LeMat-Bulk | PBE | optimized geometry
data_PmPu2Pd
_chemical_formula_sum 'Pm1 Pu2 Pd1'
_space_group_name_H-M_alt 'P 4/m m m'
_space_group_IT_number 123
_space_group_name_Hall '-P 4 2'
_cell_length_a 3.660
_cell_length_b 3.660
_cell_length_c 7.843
_cell_angle_alpha 90.00
_cell_angle_beta 90.00
_cell_angle_gamma 90.00
loop_
_atom_site_label
_atom_site_fract_x
_atom_site_fract_y
_atom_site_fract_z
Pm1 0.000 0.000 0.000
Pu1 0.500 0.500 0.300
Pd1 0.000 0.000 0.500
# - total moment (μB/f.u.) = 11.91



#x
# PmPu2Pd | Alexandria via LeMat-Bulk | PBE | optimized geometry
data_PmPu2Pd
_chemical_formula_sum 'Pm4 Pu8 Pd4'
_space_group_name_H-M_alt 'F m -3 m'
_space_group_IT_number 225
_space_group_name_Hall '-F 4 2 3'
_cell_length_a 7.277
_cell_length_b 7.277
_cell_length_c 7.277
_cell_angle_alpha 90.00
_cell_angle_beta 90.00
_cell_angle_gamma 90.00
loop_
_atom_site_label
_atom_site_fract_x
_atom_site_fract_y
_atom_site_fract_z
Pm1 0.000 0.000 0.000
Pu1 0.250 0.250 0.250
Pd1 0.000 0.000 0.500
# - total moment (μB/f.u.) = 12.08



What is the stability order? It is #w, #x, from most stable to least stable.



#w
# PmPuPdRh | Alexandria via LeMat-Bulk | PBE | optimized geometry
data_PmPuPdRh
_chemical_formula_sum 'Pm2 Pu2 Pd2 Rh2'
_space_group_name_H-M_alt 'A m m 2'
_space_group_IT_number 38
_cell_length_a 4.138
_cell_length_b 3.893
_cell_length_c 11.280
_cell_angle_alpha 90.00
_cell_angle_beta 90.00
_cell_angle_gamma 90.00
loop_
_space_group_symop_operation_xyz
'x,y,z'
'-x,-y,z'
'-x,y,z'
'x,-y,z'
'x,y+1/2,z+1/2'
'-x,-y+1/2,z+1/2'
'-x,y+1/2,z+1/2'
'x,-y+1/2,z+1/2'
loop_
_atom_site_label
_atom_site_fract_x
_atom_site_fract_y
_atom_site_fract_z
Pm1 0.000 0.000 0.000
Pu1 0.500 0.000 0.721
Pd1 0.500 0.000 0.436
Rh1 0.000 0.000 0.259
# - total moment (μB/f.u.) = 5.42



#x
# PmPuPdRh | Alexandria via LeMat-Bulk | PBE | optimized geometry
data_PmPuPdRh
_chemical_formula_sum 'Pm4 Pu4 Pd4 Rh4'
_space_group_name_H-M_alt 'F -4 3 m'
_space_group_IT_number 216
_space_group_name_Hall 'F -4 2 3'
_cell_length_a 7.031
_cell_length_b 7.031
_cell_length_c 7.031
_cell_angle_alpha 90.00
_cell_angle_beta 90.00
_cell_angle_gamma 90.00
loop_
_atom_site_label
_atom_site_fract_x
_atom_site_fract_y
_atom_site_fract_z
Pm1 0.000 0.000 0.000
Pu1 0.000 0.000 0.500
Pd1 0.250 0.250 0.250
Rh1 0.250 0.250 0.750
# - total moment (μB/f.u.) = 5.39



What is the stability order? It is #w, #x, from most stable to least stable.



#w
# PmPd2Rh | Alexandria via LeMat-Bulk | PBE | optimized geometry
data_PmPd2Rh
_chemical_formula_sum 'Pm4 Pd8 Rh4'
_space_group_name_H-M_alt 'F m -3 m'
_space_group_IT_number 225
_space_group_name_Hall '-F 4 2 3'
_cell_length_a 6.655
_cell_length_b 6.655
_cell_length_c 6.655
_cell_angle_alpha 90.00
_cell_angle_beta 90.00
_cell_angle_gamma 90.00
loop_
_atom_site_label
_atom_site_fract_x
_atom_site_fract_y
_atom_site_fract_z
Pm1 0.000 0.000 0.000
Pd1 0.250 0.250 0.250
Rh1 0.000 0.000 0.500
# - total moment (μB/f.u.) = 0.00



#x
# PmPd2Rh | Alexandria via LeMat-Bulk | PBE | optimized geometry
data_PmPd2Rh
_chemical_formula_sum 'Pm1 Pd2 Rh1'
_space_group_name_H-M_alt 'P 4/m m m'
_space_group_IT_number 123
_space_group_name_Hall '-P 4 2'
_cell_length_a 4.150
_cell_length_b 4.150
_cell_length_c 4.174
_cell_angle_alpha 90.00
_cell_angle_beta 90.00
_cell_angle_gamma 90.00
loop_
_atom_site_label
_atom_site_fract_x
_atom_site_fract_y
_atom_site_fract_z
Pm1 0.000 0.000 0.000
Pd1 0.000 0.500 0.500
Rh1 0.500 0.500 0.000
# - total moment (μB/f.u.) = 0.00



What is the stability order? It is #x, #w, from most stable to least stable.



#w
# Pm3Pd2Rh | Alexandria via LeMat-Bulk | PBE | optimized geometry
data_Pm3Pd2Rh
_chemical_formula_sum 'Pm6 Pd4 Rh2'
_space_group_name_H-M_alt 'P 1 2/m 1'
_space_group_IT_number 10
_cell_length_a 5.060
_cell_length_b 7.105
_cell_length_c 8.011
_cell_angle_alpha 90.00
_cell_angle_beta 108.37
_cell_angle_gamma 90.00
loop_
_space_group_symop_operation_xyz
'x,y,z'
'-x,-y,-z'
'-x,y,-z'
'x,-y,z'
loop_
_atom_site_label
_atom_site_fract_x
_atom_site_fract_y
_atom_site_fract_z
Pm1 0.000 0.246 0.000
Pm2 0.331 0.244 0.662
Pd1 0.165 0.500 0.332
Pd2 0.500 0.000 0.000
Pd3 0.500 0.500 0.000
Rh1 0.166 0.000 0.332
# - total moment (μB/f.u.) = 0.00



#x
# Pm3Pd2Rh | Alexandria via LeMat-Bulk | PBE | optimized geometry
data_Pm3Pd2Rh
_chemical_formula_sum 'Pm12 Pd8 Rh4'
_space_group_name_H-M_alt 'C 1 2/c 1'
_space_group_IT_number 15
_cell_length_a 13.139
_cell_length_b 5.853
_cell_length_c 8.288
_cell_angle_alpha 90.00
_cell_angle_beta 108.39
_cell_angle_gamma 90.00
loop_
_space_group_symop_operation_xyz
'x,y,z'
'-x,-y,-z'
'-x,y,-z+1/2'
'x,-y,z+1/2'
'x+1/2,y+1/2,z'
'-x+1/2,-y+1/2,-z'
'-x+1/2,y+1/2,-z+1/2'
'x+1/2,-y+1/2,z+1/2'
loop_
_atom_site_label
_atom_site_fract_x
_atom_site_fract_y
_atom_site_fract_z
Pm1 0.000 0.001 0.250
Pm2 0.158 0.498 0.079
Pd1 0.170 0.002 0.585
Rh1 0.000 0.499 0.750
# - total moment (μB/f.u.) = 0.00



What is the stability order? It is #w, #x, from most stable to least stable.



#w
# Pm8Pd2Rh3 | Alexandria via LeMat-Bulk | PBE | optimized geometry
data_Pm8Pd2Rh3
_chemical_formula_sum 'Pm8 Pd2 Rh3'
_space_group_name_H-M_alt 'P 1 2/m 1'
_space_group_IT_number 10
_cell_length_a 8.677
_cell_length_b 4.938
_cell_length_c 8.685
_cell_angle_alpha 90.00
_cell_angle_beta 109.55
_cell_angle_gamma 90.00
loop_
_space_group_symop_operation_xyz
'x,y,z'
'-x,-y,-z'
'-x,y,-z'
'x,-y,z'
loop_
_atom_site_label
_atom_site_fract_x
_atom_site_fract_y
_atom_site_fract_z
Pm1 0.120 0.000 0.379
Pm2 0.132 0.500 0.874
Pm3 0.373 0.500 0.632
Pm4 0.379 0.000 0.122
Pd1 0.247 0.500 0.254
Rh1 0.248 0.000 0.748
Rh2 0.500 0.500 0.000
# - total moment (μB/f.u.) = 0.00



#x
# Pm8Pd2Rh3 | Alexandria via LeMat-Bulk | PBE | optimized geometry
data_Pm8Pd2Rh3
_chemical_formula_sum 'Pm16 Pd4 Rh6'
_space_group_name_H-M_alt 'C 1 2/m 1'
_space_group_IT_number 12
_cell_length_a 14.975
_cell_length_b 7.973
_cell_length_c 6.880
_cell_angle_alpha 90.00
_cell_angle_beta 107.71
_cell_angle_gamma 90.00
loop_
_space_group_symop_operation_xyz
'x,y,z'
'-x,-y,-z'
'-x,y,-z'
'x,-y,z'
'x+1/2,y+1/2,z'
'-x+1/2,-y+1/2,-z'
'-x+1/2,y+1/2,-z'
'x+1/2,-y+1/2,z'
loop_
_atom_site_label
_atom_site_fract_x
_atom_site_fract_y
_atom_site_fract_z
Pm1 0.111 0.000 0.401
Pm2 0.113 0.500 0.417
Pm3 0.117 0.255 0.907
Pd1 0.246 0.000 0.164
Rh1 0.000 0.242 0.500
Rh2 0.000 0.500 0.000
# - total moment (μB/f.u.) = 0.00



What is the stability order? It is #w, #x, from most stable to least stable.